No. 1
{
  "formula": "LiPr3Ag2",
  "functional": "PBE-GGA",
  "state": "relaxed",
  "lattice_angstrom": [[3.866, 0.000, 0.000], [0.000, 5.021, -1.662], [0.000, 0.008, 8.439]],
  "species": ["Ag", "Ag", "Li", "Pr", "Pr", "Pr"],
  "fractional_positions": [[0.000, 0.343, 0.685], [0.000, 0.657, 0.315], [0.000, 0.000, 0.000], [0.500, 0.500, 0.000], [0.500, 0.172, 0.344], [0.500, 0.828, 0.656]],
  "formation_enthalpy_0k_ev_per_atom": -0.13,
  "volume_a3_per_atom": 27.31
}

No. 2
{
  "formula": "Li2PrAg3",
  "functional": "PBE-GGA",
  "state": "relaxed",
  "lattice_angstrom": [[-3.545, -2.837, 0.752], [2.460, -0.368, -3.872], [8.292, -8.744, 6.099]],
  "species": ["Ag", "Ag", "Ag", "Ag", "Ag", "Ag", "Li", "Li", "Li", "Li", "Pr", "Pr"],
  "fractional_positions": [[0.000, 0.000, 0.500], [0.333, 0.667, 0.123], [0.000, 0.000, 0.000], [0.333, 0.667, 0.377], [0.667, 0.333, 0.877], [0.667, 0.333, 0.623], [0.333, 0.667, 0.929], [0.667, 0.333, 0.071], [0.333, 0.667, 0.571], [0.667, 0.333, 0.429], [0.000, 0.000, 0.750], [0.000, 0.000, 0.250]],
  "formation_enthalpy_0k_ev_per_atom": -0.20,
  "volume_a3_per_atom": 20.64
}

No. 3
{
  "formula": "Li2PrAg6",
  "functional": "PBE-GGA",
  "state": "relaxed",
  "lattice_angstrom": [[5.621, 0.000, 0.000], [-2.810, 4.868, 0.000], [0.000, 0.000, 7.590]],
  "species": ["Ag", "Ag", "Ag", "Ag", "Ag", "Ag", "Pr", "Li", "Li"],
  "fractional_positions": [[0.500, 0.500, 0.797], [0.500, 0.000, 0.797], [0.500, 0.500, 0.203], [0.000, 0.500, 0.797], [0.500, 0.000, 0.203], [0.000, 0.500, 0.203], [0.000, 0.000, 0.000], [0.333, 0.667, 0.500], [0.667, 0.333, 0.500]],
  "formation_enthalpy_0k_ev_per_atom": 0.00,
  "volume_a3_per_atom": 23.08
}

No. 4
{
  "formula": "LiPrAg2",
  "functional": "PBE-GGA",
  "state": "relaxed",
  "lattice_angstrom": [[3.397, 0.000, 0.000], [0.000, 5.226, 0.000], [0.000, 0.000, 5.226]],
  "species": ["Ag", "Ag", "Pr", "Li"],
  "fractional_positions": [[0.000, 0.500, 0.000], [0.000, 0.000, 0.500], [0.500, 0.000, 0.000], [0.500, 0.500, 0.500]],
  "formation_enthalpy_0k_ev_per_atom": -0.12,
  "volume_a3_per_atom": 23.20
}

No. 5
{
  "formula": "Li4PrAg8",
  "functional": "PBE-GGA",
  "state": "relaxed",
  "lattice_angstrom": [[5.271, 0.000, 0.000], [2.636, 6.683, 0.000], [2.636, 0.000, 6.683]],
  "species": ["Li", "Li", "Li", "Li", "Ag", "Ag", "Ag", "Ag", "Ag", "Ag", "Ag", "Ag", "Pr"],
  "fractional_positions": [[0.500, 0.000, 0.500], [0.500, 0.500, 0.000], [0.000, 0.500, 0.000], [0.000, 0.000, 0.500], [0.000, 0.650, 0.350], [0.000, 0.350, 0.650], [0.281, 0.219, 0.219], [0.650, 0.350, 0.350], [0.500, 0.219, 0.781], [0.719, 0.781, 0.781], [0.350, 0.650, 0.650], [0.500, 0.781, 0.219], [0.000, 0.000, 0.000]],
  "formation_enthalpy_0k_ev_per_atom": -0.18,
  "volume_a3_per_atom": 18.11
}

No. 6
{
  "formula": "LiPrAg2",
  "functional": "PBE-GGA",
  "state": "relaxed",
  "lattice_angstrom": [[5.076, 0.000, 0.000], [2.538, 4.396, 0.000], [2.538, 1.465, 4.145]],
  "species": ["Li", "Ag", "Ag", "Pr"],
  "fractional_positions": [[0.500, 0.500, 0.500], [0.250, 0.250, 0.250], [0.750, 0.750, 0.750], [0.000, 0.000, 0.000]],
  "formation_enthalpy_0k_ev_per_atom": -0.18,
  "volume_a3_per_atom": 23.12
}

no.,total energy (eV per formula unit)
1,-22.8
2,-18.3
3,-25.7
4,-12.9
5,-37.6
6,-13.1